Record 1
A plane-wave DFT calculation with PBE-GGA was carried out for a relaxed CaMgCuAu2 crystal.

a = 5.003 Å, b = 4.743 Å, c = 5.003 Å
α = 90.00°, β = 90.00°, γ = 90.00°
Positions (direct):
Ca 0.500 0.500 0.500
Au 0.000 0.000 0.500
Au 0.500 0.000 0.000
Mg 0.000 0.000 0.000
Cu 0.000 0.500 0.000

Computed properties:
**Total magnetization**: 0.000 μB per formula unit
**Offset from the most stable computed form**: 0 meV per atom
**Formation energy from the elements**: -0.04 eV per atom

***

Record 2
A plane-wave DFT calculation with PBE-GGA was carried out for a relaxed YGaGe crystal.

a = 3.474 Å, b = 3.474 Å, c = 5.806 Å
α = 107.41°, β = 107.41°, γ = 90.00°
Positions (direct):
Y 0.616 0.616 0.232
Ge 0.308 0.308 0.615
Ga 0.926 0.926 0.853

Computed properties:
**Total magnetization**: 0.455 μB per formula unit
**Formation energy from the elements**: -0.38 eV per atom

***

Record 3
A plane-wave DFT calculation with PBE-GGA was carried out for a relaxed Bi2PdRu crystal.

a = 4.888 Å, b = 4.888 Å, c = 4.888 Å
α = 60.00°, β = 60.00°, γ = 60.00°
Positions (direct):
Ru 0.000 0.000 0.000
Bi 0.250 0.250 0.250
Bi 0.750 0.750 0.750
Pd 0.500 0.500 0.500

Computed properties:
**Total magnetization**: 0.000 μB per formula unit
**Offset from the most stable computed form**: 0 meV per atom
**Formation energy from the elements**: 0.21 eV per atom